A geometry-optimized InSnN2O structure, computed with PBE-GGA.

E_form (uncorrected)	0.9112	eV per atom
crystal system	tetragonal
total DFT energy (no corrections)	-4.759	eV/atom

Cell lengths 4.3557, 4.3557, 4.2949 Å; angles 90.00, 90.00, 90.00 degrees
With the nearest neighbours (Å) after each atom.
Sites, in units of the cell vectors:
In 0.0000 0.0000 0.0000  2 O 2.15, 4 N 2.18
Sn 0.5000 0.5000 0.5000  8 N 3.06, 4 O 3.08
N 0.0000 0.5000 0.0000  2 In 2.18
N 0.5000 0.0000 0.0000  2 In 2.18
O 0.0000 0.0000 0.5000  2 In 2.15

***

A geometry-optimized HfSc2Cu2 structure, computed with PBE-GGA.

crystal system	tetragonal
E above lowest polymorph	0.78	eV/f.u.
total DFT energy (no corrections)	-6.135	eV/atom
energy of formation	0.027	eV/atom

Cell lengths 7.7871, 7.7871, 3.0155 Å; angles 90.00, 90.00, 90.00 degrees
With the nearest neighbours (Å) after each atom.
Sites, in units of the cell vectors:
Hf 0.0000 0.0000 0.0000  4 Sc 3.00, 2 Hf 3.02, 8 Cu 3.31
Hf 0.5000 0.5000 0.0000  4 Sc 3.00, 2 Hf 3.02, 8 Cu 3.31
Sc 0.1426 0.3574 0.0000  6 Cu 2.69-2.77, 2 Hf 3.00
Sc 0.3574 0.8574 0.0000  6 Cu 2.69-2.77, 2 Hf 3.00
Sc 0.6426 0.1426 0.0000  6 Cu 2.69-2.77, 2 Hf 3.00
Sc 0.8574 0.6426 0.0000  6 Cu 2.69-2.77, 2 Hf 3.00
Cu 0.1551 0.6551 0.5000  6 Sc 2.69-2.77
Cu 0.3449 0.1551 0.5000  6 Sc 2.69-2.77
Cu 0.6551 0.8449 0.5000  6 Sc 2.69-2.77
Cu 0.8449 0.3449 0.5000  6 Sc 2.69-2.77